1.
A relaxed structure of MgCrBr2. Source: Alexandria via LeMat-Bulk, functional GGA-PBE.

Cell: 3.6137 6.6372 9.8009 Å, 90.00 90.00 90.00°
With the nearest neighbours (Å) after each atom.
Sites, in units of the cell vectors:
Mg: 0.0000 0.0000 0.0000  4 Br 3.60, 6 Mg 3.61-3.78
Mg: 0.5000 0.5000 0.0000  4 Br 3.60, 6 Mg 3.61-3.78
Cr: 0.0000 0.0000 0.5000  4 Br 2.54
Cr: 0.5000 0.5000 0.5000  4 Br 2.54
Br: 0.0000 0.5000 0.3181  2 Cr 2.54
Br: 0.0000 0.5000 0.6819  2 Cr 2.54
Br: 0.5000 0.0000 0.3181  2 Cr 2.54
Br: 0.5000 0.0000 0.6819  2 Cr 2.54

Mass density in g/cm3: 3.34
Calculated volume in Å³/cell: 235.07
Total magnetization in μB per formula unit: 4.2
Polymorph energy (0 for the lowest one) in meV per atom: 201
E_form (uncorrected) in eV/atom: -0.221



2.
A relaxed structure of Sc3FeBi. Source: Alexandria via LeMat-Bulk, functional GGA-PBE.

Cell: 4.8432 4.8432 4.8432 Å, 90.00 90.00 90.00°
With the nearest neighbours (Å) after each atom.
Sites, in units of the cell vectors:
Sc: 0.0000 0.0000 0.5000  2 Fe 2.42
Sc: 0.0000 0.5000 0.0000  2 Fe 2.42
Sc: 0.5000 0.0000 0.0000  2 Fe 2.42
Fe: 0.0000 0.0000 0.0000  6 Sc 2.42
Bi: 0.5000 0.5000 0.5000  12 Sc 3.42

Mass density in g/cm3: 5.84
Calculated volume in Å³/cell: 113.60
Total magnetization in μB per formula unit: 0.0
Formation energy in eV per atom: -0.181
Polymorph energy (0 for the lowest one) in meV per atom: 0



3.
A relaxed structure of IrAuNF. Source: Alexandria via LeMat-Bulk, functional GGA-PBE.

Cell: 10.7164 2.7599 6.8750 Å, 90.00 127.57 90.00°
With the nearest neighbours (Å) after each atom.
Sites, in units of the cell vectors:
Ir: 0.0000 0.0000 0.0000  2 N 1.91, 1 F 1.95
Ir: 0.5000 0.5000 0.0000  2 N 1.91, 1 F 1.95
Au: 0.2047 0.5000 0.8219  1 N 2.05
Au: 0.7047 0.0000 0.8219  1 N 2.05
N: 0.0131 0.5000 0.8211  2 Ir 1.91, 1 Au 2.05
N: 0.5131 0.0000 0.8211  2 Ir 1.91, 1 Au 2.05
F: 0.0562 0.0000 0.3289  1 Ir 1.95
F: 0.5562 0.5000 0.3289  1 Ir 1.95

Mass density in g/cm3: 8.70
Calculated volume in Å³/cell: 161.16
Total magnetization in μB per formula unit: 0.0
Polymorph energy (0 for the lowest one) in meV per atom: 220
E_form (uncorrected) in eV/atom: 0.135



4.
A relaxed structure of DyEr12Tl6. Source: Alexandria via LeMat-Bulk, functional GGA-PBE.

Cell: 8.8561 8.8561 8.8561 Å, 103.94 103.94 103.94°
With the nearest neighbours (Å) after each atom.
Sites, in units of the cell vectors:
Dy: 0.0000 0.0000 0.0000  6 Tl 4.46, 18 Er 4.50-4.79
Er: 0.1310 0.5000 0.8690  4 Tl 2.98-3.07
Er: 0.1310 0.8690 0.5000  4 Tl 2.98-3.07
Er: 0.1820 0.4467 0.4467  3 Tl 3.18
Er: 0.4467 0.1820 0.4467  3 Tl 3.18
Er: 0.4467 0.4467 0.1820  3 Tl 3.18
Er: 0.5000 0.1310 0.8690  4 Tl 2.98-3.07
Er: 0.5000 0.8690 0.1310  4 Tl 2.98-3.07
Er: 0.5533 0.5533 0.8180  3 Tl 3.18
Er: 0.5533 0.8180 0.5533  3 Tl 3.18
Er: 0.8180 0.5533 0.5533  3 Tl 3.18
Er: 0.8690 0.1310 0.5000  4 Tl 2.98-3.07
Er: 0.8690 0.5000 0.1310  4 Tl 2.98-3.07
Tl: 0.2369 0.2369 0.6881  7 Er 2.98-3.18
Tl: 0.2369 0.6881 0.2369  7 Er 2.98-3.18
Tl: 0.3119 0.7631 0.7631  7 Er 2.98-3.18
Tl: 0.6881 0.2369 0.2369  7 Er 2.98-3.18
Tl: 0.7631 0.3119 0.7631  7 Er 2.98-3.18
Tl: 0.7631 0.7631 0.3119  7 Er 2.98-3.18

Mass density in g/cm3: 9.09
Calculated volume in Å³/cell: 620.47
Total magnetization in μB per formula unit: 0.0
Formation energy in eV per atom: 0.030